The following is a DFT calculation (PBE with a Hubbard U) of ErCr2BiO6 after structural relaxation.

Unit cell a=5.520 b=5.520 c=5.573 alpha=60.31 beta=60.31 gamma=59.99
Each line ends with the local moment (μB).
Atoms (fractional coordinates):
1 Er 0.796 0.796 0.612  0.02
2 Cr 0.517 0.517 0.450  2.95
3 Cr 0.018 0.017 0.947  2.96
4 Bi 0.291 0.291 0.126  0.03
5 O 0.684 0.238 0.231  -0.02
6 O 0.238 0.846 0.231  -0.02
7 O 0.846 0.684 0.231  -0.02
8 O 0.368 0.740 0.729  -0.02
9 O 0.740 0.162 0.729  -0.02
10 O 0.162 0.368 0.729  -0.02

Summary:
VASP energy: -7.49 eV/atom
Theoretical density: 7.933 g cm⁻³